No. 1
Material: Ga2Cu2Se
Method: DFT, GGA-PBE
State: relaxed

Results
uncorrected formation energy = 0.08 eV/atom
total DFT energy (no corrections) = -3.465 eV/atom
polymorph energy (0 for the lowest one) = 0.055 eV/atom
N(E_F) = 1.739 states/eV/f.u.

The structure in extended XYZ format:
```
5
Lattice="-1.092 0.252 -3.626 -3.628 -0.317 1.071 -2.717 5.784 -0.765" Properties=species:S:1:pos:R:3 pbc="T T T"
Ga -4.352 2.717 -0.486
Ga -3.085 3.002 -2.835
Cu -2.434 1.176 -1.171
Cu -5.003 4.544 -2.150
Se 0.000 0.000 0.000
```

No. 2
Material: MnBeCl3
Method: DFT, GGA-PBE
State: relaxed

Results
uncorrected formation energy = -0.12 eV/atom
total DFT energy (no corrections) = -3.810 eV/atom
polymorph energy (0 for the lowest one) = 0.247 eV/atom
N(E_F) = 1.254 states/eV/f.u.

The structure in extended XYZ format:
```
5
Lattice="-0.813 -2.025 4.397 2.708 -3.885 -1.289 4.012 2.212 1.760" Properties=species:S:1:pos:R:3 pbc="T T T"
Be 2.954 -1.849 2.434
Cl 2.006 1.106 0.880
Cl 1.354 -1.943 -0.644
Cl -0.406 -1.012 2.198
Mn 0.000 0.000 0.000
```

No. 3
Material: Dy4Y3Ho3
Method: DFT, GGA-PBE
State: relaxed

Results
total DFT energy (no corrections) = -5.059 eV/atom
DFT formation energy = 0.094 eV per atom
N(E_F) = 8.497 states/eV/f.u.

The structure in extended XYZ format:
```
10
Lattice="-2.757 -2.427 -0.626 1.632 -3.971 8.213 -6.016 5.801 4.005" Properties=species:S:1:pos:R:3 pbc="T T T"
Ho -1.377 -1.069 10.216
Ho -6.086 2.916 4.412
Ho 0.816 -1.985 4.106
Dy -3.819 1.586 10.671
Dy -3.174 2.170 5.568
Dy -1.221 -0.325 6.643
Dy -0.548 0.221 1.557
Y -1.056 -3.512 7.180
Y -4.324 0.018 7.889
Y -2.821 -0.610 3.700
```

No. 4
Material: La3Pm4Tm4
Method: DFT, GGA-PBE
State: relaxed

Results
total DFT energy (no corrections) = -4.673 eV/atom
DFT formation energy = 0.025 eV per atom
polymorph energy (0 for the lowest one) = 0.000 eV/atom
N(E_F) = 15.785 states/eV/f.u.

The structure in extended XYZ format:
```
11
Lattice="-0.511 1.299 -3.358 -4.013 -3.115 -0.591 -9.688 14.921 9.214" Properties=species:S:1:pos:R:3 pbc="T T T"
Pm -3.378 0.401 -1.299
Pm -10.836 12.704 6.564
Pm -9.819 7.950 2.602
Pm -4.393 5.154 2.663
Tm -7.717 5.488 1.330
Tm -6.496 7.616 3.935
Tm -2.182 2.560 1.322
Tm -12.031 10.544 3.943
La -8.667 10.161 5.249
La 0.000 0.000 0.000
La -5.546 2.943 0.016
```

No. 5
Material: Er8Ag2Au
Method: DFT, GGA-PBE
State: relaxed

Results
total DFT energy (no corrections) = -4.379 eV/atom
DFT formation energy = -0.244 eV per atom
N(E_F) = 10.073 states/eV/f.u.

The structure in extended XYZ format:
```
11
Lattice="-0.219 -2.451 4.507 -5.313 -3.680 -2.260 7.373 -3.283 -4.353" Properties=species:S:1:pos:R:3 pbc="T T T"
Er 0.617 -6.422 -0.538
Er 5.572 -6.305 -0.233
Er -2.887 -6.312 -0.648
Er -1.177 -3.724 0.843
Er 1.224 -2.992 -1.568
Er 3.018 -5.691 -2.949
Er 4.728 -3.102 -1.458
Er -3.731 -3.110 -1.873
Ag 3.015 -5.101 0.297
Ag -1.174 -4.314 -2.403
Au -0.109 -1.226 2.253
```

No. 6
Material: Rb2Te2PdO6
Method: DFT, GGA-PBE
State: relaxed

Results
uncorrected formation energy = -1.11 eV/atom
total DFT energy (no corrections) = -5.032 eV/atom

The structure in extended XYZ format:
```
11
Lattice="-0.707 5.492 -0.863 -2.361 -2.157 6.402 7.941 0.721 -1.917" Properties=species:S:1:pos:R:3 pbc="T T T"
Rb 3.907 0.850 2.210
Rb 0.965 3.205 1.412
Te 6.264 0.702 -0.665
Te -1.392 3.354 4.287
O -0.106 1.992 3.912
O 0.238 -0.680 4.332
O 1.728 0.316 0.595
O 4.635 4.735 -0.710
O 4.979 2.063 -0.290
O 3.145 3.740 3.027
Pd 3.617 3.106 -1.390
```

No. 7
Material: HfAsSBr2
Method: DFT, GGA-PBE
State: relaxed

Results
uncorrected formation energy = 0.73 eV/atom
total DFT energy (no corrections) = -3.686 eV/atom
polymorph energy (0 for the lowest one) = 0.715 eV/atom
N(E_F) = 5.261 states/eV/f.u.

The structure in extended XYZ format:
```
5
Lattice="-3.679 2.343 -2.300 -2.373 -4.285 -0.570 -2.304 0.693 4.390" Properties=species:S:1:pos:R:3 pbc="T T T"
Br -1.839 1.172 -1.150
Br -1.187 -2.142 -0.285
Hf -4.178 -0.624 0.760
S 0.000 0.000 0.000
As -1.152 0.346 2.195
```

No. 8
Material: Ti2NbInO
Method: DFT, GGA-PBE
State: relaxed

Results
uncorrected formation energy = -0.95 eV/atom
total DFT energy (no corrections) = -7.662 eV/atom
N(E_F) = 5.961 states/eV/f.u.

The structure in extended XYZ format:
```
5
Lattice="4.159 0.000 0.000 0.000 4.159 0.000 0.000 0.000 4.442" Properties=species:S:1:pos:R:3 pbc="T T T"
O 0.000 0.000 0.000
In 2.079 2.079 2.221
Ti 0.000 2.079 0.000
Ti 2.079 0.000 0.000
Nb 0.000 0.000 2.221
```

No. 9
Material: CdTePd
Method: DFT, GGA-PBE
State: relaxed

Results
uncorrected formation energy = -0.34 eV/atom
total DFT energy (no corrections) = -3.422 eV/atom
polymorph energy (0 for the lowest one) = 0.000 eV/atom
N(E_F) = 0.920 states/eV/f.u.

The structure in extended XYZ format:
```
3
Lattice="-4.262 -0.499 -1.718 -0.640 -2.289 -3.965 -2.033 -4.152 0.030" Properties=species:S:1:pos:R:3 pbc="T T T"
Cd -3.467 -3.470 -2.826
Te 0.000 0.000 0.000
Pd -1.734 -1.735 -1.413
```

No. 10
Material: CeThTcRh
Method: DFT, GGA-PBE
State: relaxed

Results
total DFT energy (no corrections) = -8.113 eV/atom
DFT formation energy = -0.345 eV per atom
N(E_F) = 4.242 states/eV/f.u.

The structure in extended XYZ format:
```
4
Lattice="-2.086 -2.233 3.928 -4.395 -2.286 -0.481 -0.256 -4.967 0.193" Properties=species:S:1:pos:R:3 pbc="T T T"
Tc -3.369 -4.743 1.821
Th -1.684 -2.372 0.910
Rh 0.000 0.000 0.000
Ce -5.053 -7.115 2.731
```

No. 11
Material: Pa2Al3ZnAu4
Method: DFT, GGA-PBE
State: relaxed

Results
total DFT energy (no corrections) = -4.877 eV/atom
DFT formation energy = -0.416 eV per atom
N(E_F) = 7.755 states/eV/f.u.

The structure in extended XYZ format:
```
10
Lattice="-2.774 -3.225 -0.818 3.033 -2.013 -2.348 3.308 -5.023 8.581" Properties=species:S:1:pos:R:3 pbc="T T T"
Al 1.951 -1.667 -0.046
Al 1.487 -5.975 7.043
Al 1.654 -2.511 4.290
Au 0.000 0.000 0.000
Au 0.129 -2.619 -1.583
Au 0.718 -4.809 5.051
Au 2.719 -2.833 1.946
Pa 3.992 -4.765 5.246
Pa -0.554 -2.877 1.752
Zn 1.784 -5.130 2.707
```

No. 12
Material: K2RbLiBi
Method: DFT, GGA-PBE
State: relaxed

Results
total DFT energy (no corrections) = -1.974 eV/atom
DFT formation energy = -0.182 eV per atom
polymorph energy (0 for the lowest one) = 0.008 eV/atom
N(E_F) = 2.113 states/eV/f.u.

The structure in extended XYZ format:
```
5
Lattice="-4.606 -2.213 4.139 -3.125 -2.880 -5.018 2.816 -4.409 0.777" Properties=species:S:1:pos:R:3 pbc="T T T"
Bi 1.408 -2.204 0.388
Rb -2.458 -4.751 -0.052
K -1.563 -1.440 -2.509
K -2.303 -1.107 2.069
Li 0.000 0.000 0.000
```

No. 13
Material: TmTl2Ag2Cl6
Method: DFT, GGA-PBE
State: relaxed

Results
uncorrected formation energy = -1.15 eV/atom
total DFT energy (no corrections) = -3.515 eV/atom
N(E_F) = 2.333 states/eV/f.u.

The structure in extended XYZ format:
```
11
Lattice="8.819 0.000 0.000 -4.410 5.699 -0.422 0.000 -3.635 6.614" Properties=species:S:1:pos:R:3 pbc="T T T"
Cl 2.604 -0.840 1.678
Cl -1.805 2.904 4.514
Cl 0.000 1.746 1.403
Cl 4.410 0.319 4.790
Cl 1.805 2.904 4.514
Cl 6.215 -0.840 1.678
Ag 0.000 -0.727 2.444
Ag 4.409 2.791 3.749
Tl 0.000 0.177 5.408
Tl 4.409 1.887 0.784
Tm 4.410 -1.817 3.307
```

No. 14
Material: Y5As2C
Method: DFT, GGA-PBE
State: relaxed

Results
total DFT energy (no corrections) = -7.018 eV/atom
DFT formation energy = -0.662 eV per atom
N(E_F) = 6.727 states/eV/f.u.

The structure in extended XYZ format:
```
16
Lattice="-3.623 -0.355 4.177 4.129 -5.201 -0.535 8.404 5.870 7.787" Properties=species:S:1:pos:R:3 pbc="T T T"
As 3.356 -1.170 6.485
As 0.272 -3.324 3.628
As 8.638 3.639 7.801
As 5.554 1.485 4.944
Y 7.688 1.187 6.769
Y 1.221 -0.872 4.660
Y 3.429 1.572 3.108
Y 2.455 -3.071 1.868
Y 5.481 -1.257 8.321
Y 1.318 0.097 1.152
Y 3.993 1.665 7.279
Y 6.455 3.385 9.561
Y 7.592 0.217 10.277
Y 4.917 -1.351 4.150
C 3.060 -0.758 2.589
C 5.850 1.072 8.840
```

No. 15
Material: La2ScAs4Pt3
Method: DFT, GGA-PBE
State: relaxed

Results
total DFT energy (no corrections) = -6.342 eV/atom
DFT formation energy = -1.051 eV per atom
N(E_F) = 3.426 states/eV/f.u.

The structure in extended XYZ format:
```
10
Lattice="-0.016 4.340 1.016 -1.437 0.957 -4.110 -9.940 -0.807 3.287" Properties=species:S:1:pos:R:3 pbc="T T T"
As -0.726 2.649 -1.547
As 0.000 0.000 0.000
As -6.390 1.652 2.619
As -4.277 0.190 -0.878
Pt -8.781 1.458 3.409
Pt -4.970 -0.403 1.644
Pt -1.886 0.384 -1.669
La -8.370 -0.142 0.475
La -2.297 1.984 1.265
Sc -5.696 2.245 0.097
```

No. 16
Material: Pm3CuAu
Method: DFT, GGA-PBE
State: relaxed

Results
total DFT energy (no corrections) = -4.723 eV/atom
DFT formation energy = -0.398 eV per atom
N(E_F) = 5.038 states/eV/f.u.

The structure in extended XYZ format:
```
10
Lattice="-0.775 1.137 3.621 -0.474 -7.354 0.143 9.322 -5.400 1.609" Properties=species:S:1:pos:R:3 pbc="T T T"
Au 1.884 -1.789 3.214
Au 7.134 -8.744 2.374
Pm 5.085 -9.834 4.354
Pm 3.460 -8.053 1.378
Pm 0.159 -1.245 0.604
Pm 3.062 -4.444 2.229
Pm -0.462 -3.887 3.375
Pm 5.956 -6.088 3.360
Cu 0.894 -6.470 2.409
Cu 7.653 -11.417 3.320
```

No. 17
Material: Zr5ScTl3
Method: DFT, GGA-PBE
State: relaxed

Results
total DFT energy (no corrections) = -5.955 eV/atom
DFT formation energy = 0.287 eV per atom
polymorph energy (0 for the lowest one) = 0.387 eV/atom
N(E_F) = 10.467 states/eV/f.u.

The structure in extended XYZ format:
```
18
Lattice="7.601 0.000 0.000 0.000 7.601 0.000 -3.801 -3.801 7.392" Properties=species:S:1:pos:R:3 pbc="T T T"
Zr 6.056 2.256 2.084
Zr 1.545 5.345 2.084
Zr 0.000 0.000 0.000
Zr 5.345 6.056 2.084
Zr -2.256 1.545 5.308
Zr 1.545 2.256 5.308
Zr 3.801 3.801 0.000
Zr 2.256 -1.545 5.308
Zr -1.545 -2.256 5.308
Zr 2.256 1.545 2.084
Sc 0.000 3.801 3.696
Sc 3.801 0.000 3.696
Tl 4.749 0.948 0.000
Tl 0.000 0.000 3.696
Tl 3.801 3.801 3.696
Tl 2.852 6.653 0.000
Tl 6.653 4.749 0.000
Tl 0.948 2.852 0.000
```

No. 18
Material: K2CuTe
Method: DFT, GGA-PBE
State: relaxed

Results
uncorrected formation energy = 0.04 eV/atom
total DFT energy (no corrections) = -2.318 eV/atom
N(E_F) = 2.955 states/eV/f.u.

The structure in extended XYZ format:
```
4
Lattice="-3.840 -2.169 -1.054 0.027 -2.020 4.060 -3.705 5.272 2.648" Properties=species:S:1:pos:R:3 pbc="T T T"
Te -1.844 2.625 1.318
Cu -4.645 1.802 3.460
K -3.033 -0.492 2.308
K -3.553 5.057 2.540
```

No. 19
Material: NaCd4Ni
Method: DFT, GGA-PBE
State: relaxed

Results
total DFT energy (no corrections) = -1.807 eV/atom
DFT formation energy = -0.014 eV per atom
polymorph energy (0 for the lowest one) = 0.014 eV/atom
N(E_F) = 2.862 states/eV/f.u.

The structure in extended XYZ format:
```
12
Lattice="3.994 0.000 0.000 0.000 7.363 0.000 0.000 0.000 9.014" Properties=species:S:1:pos:R:3 pbc="T T T"
Cd 1.997 5.017 3.883
Cd 1.997 2.345 8.390
Cd 1.997 6.903 6.761
Cd 0.000 0.000 4.507
Cd 1.997 0.460 2.254
Cd 0.000 0.000 0.000
Cd 1.997 2.345 5.132
Cd 1.997 5.017 0.624
Na 0.000 4.407 6.761
Na 0.000 2.956 2.254
Ni 0.000 5.989 2.254
Ni 0.000 1.373 6.761
```

No. 20
Material: CeAl2Cu2Si
Method: DFT, GGA-PBE
State: relaxed

Results
uncorrected formation energy = -0.10 eV/atom
total DFT energy (no corrections) = -4.607 eV/atom
N(E_F) = 5.795 states/eV/f.u.

The structure in extended XYZ format:
```
6
Lattice="4.445 0.000 0.000 0.000 4.445 0.000 0.000 0.000 5.595" Properties=species:S:1:pos:R:3 pbc="T T T"
Cu 2.223 0.000 0.000
Cu 0.000 2.223 0.000
Si 0.000 0.000 0.000
Ce 0.000 0.000 2.798
Al 2.223 2.223 4.108
Al 2.223 2.223 1.488
```

No. 21
Material: Y2Cu3
Method: DFT, GGA-PBE
State: relaxed

Results
total DFT energy (no corrections) = -5.210 eV/atom
DFT formation energy = -0.166 eV per atom
N(E_F) = 4.321 states/eV/f.u.

The structure in extended XYZ format:
```
5
Lattice="7.074 -0.022 -0.014 -1.259 4.051 0.000 -1.259 1.830 3.614" Properties=species:S:1:pos:R:3 pbc="T T T"
Cu 1.492 4.906 3.015
Cu 0.000 0.000 0.000
Cu 3.065 0.952 0.585
Y 0.636 2.419 1.486
Y 3.920 3.439 2.114
```

No. 22
Material: Te4Pt3
Method: DFT, GGA-PBE
State: relaxed

Results
uncorrected formation energy = -0.39 eV/atom
total DFT energy (no corrections) = -4.770 eV/atom
polymorph energy (0 for the lowest one) = 0.000 eV/atom
N(E_F) = 3.272 states/eV/f.u.

The structure in extended XYZ format:
```
7
Lattice="12.397 0.013 0.007 11.737 3.993 0.007 11.737 1.948 3.485" Properties=species:S:1:pos:R:3 pbc="T T T"
Te 19.870 3.298 1.939
Te 25.282 4.196 2.467
Te 16.001 2.656 1.561
Te 10.589 1.757 1.033
Pt 5.250 0.871 0.512
Pt 30.621 5.082 2.988
Pt 0.000 0.000 0.000
```

No. 23
Material: BeSn3Br
Method: DFT, GGA-PBE
State: relaxed

Results
uncorrected formation energy = 1.13 eV/atom
total DFT energy (no corrections) = -2.348 eV/atom
polymorph energy (0 for the lowest one) = 0.862 eV/atom
N(E_F) = 3.664 states/eV/f.u.

The structure in extended XYZ format:
```
5
Lattice="-0.037 5.554 -0.357 -5.472 0.029 1.017 1.016 0.358 5.460" Properties=species:S:1:pos:R:3 pbc="T T T"
Br 0.000 0.000 0.000
Sn -2.736 0.014 0.508
Sn -0.019 2.777 -0.178
Sn 0.508 0.179 2.730
Be -2.246 2.970 3.060
```

No. 24
Material: CrAgOs2
Method: DFT, GGA-PBE
State: relaxed

Results
total DFT energy (no corrections) = -8.097 eV/atom
DFT formation energy = 0.637 eV per atom
polymorph energy (0 for the lowest one) = 0.363 eV/atom
N(E_F) = 5.205 states/eV/f.u.

The structure in extended XYZ format:
```
4
Lattice="-1.117 -1.119 -2.147 2.215 -1.144 0.944 -5.214 -5.490 5.576" Properties=species:S:1:pos:R:3 pbc="T T T"
Os -5.150 -5.423 5.508
Os -0.683 -2.429 0.717
Cr -3.448 -5.341 3.674
Ag -2.655 -2.796 2.840
```

No. 25
Material: AlGe2WN
Method: DFT, GGA-PBE
State: relaxed

Results
uncorrected formation energy = 1.23 eV/atom
total DFT energy (no corrections) = -5.623 eV/atom
N(E_F) = 6.668 states/eV/f.u.

The structure in extended XYZ format:
```
5
Lattice="5.138 0.000 0.000 0.000 3.296 0.000 0.000 0.000 5.138" Properties=species:S:1:pos:R:3 pbc="T T T"
Ge 2.569 0.000 0.000
Ge 0.000 0.000 2.569
Al 0.000 0.000 0.000
W 2.569 1.648 2.569
N 0.000 1.648 0.000
```